No. 1
Here is HfIr3Pd after structural relaxation from Alexandria via LeMat-Bulk. Energies are from PBE.

Output
Relative energy among the computed polymorphs: 0.090 eV/atom
Energy of formation from the pure elements: 1.6079 eV per atom
SG: Pm-3m, No. 221

a b c (Å): 4.7873 4.7873 4.7873
angles (deg): 90.00 90.00 90.00
Element x y z (fractional)
Hf 0.0000 0.0000 0.0000
Ir 0.0000 0.0000 0.5000
Ir 0.0000 0.5000 0.0000
Ir 0.5000 0.0000 0.0000
Pd 0.5000 0.5000 0.5000

=====

No. 2
Here is Hf2Ir2Pd after structural relaxation from Alexandria via LeMat-Bulk. Energies are from PBE.

Output
Relative energy among the computed polymorphs: 0.000 eV/atom
Energy of formation from the pure elements: -0.7713 eV per atom
SG: P4/mbm, No. 127

a b c (Å): 7.5659 7.5659 3.1359
angles (deg): 90.00 90.00 90.00
Element x y z (fractional)
Hf 0.1637 0.3363 0.0000
Hf 0.3363 0.8363 0.0000
Hf 0.6637 0.1637 0.0000
Hf 0.8363 0.6637 0.0000
Ir 0.1348 0.6348 0.5000
Ir 0.3652 0.1348 0.5000
Ir 0.6348 0.8652 0.5000
Ir 0.8652 0.3652 0.5000
Pd 0.0000 0.0000 0.5000
Pd 0.5000 0.5000 0.5000

=====

No. 3
Here is Hf6IrPd after structural relaxation from Alexandria via LeMat-Bulk. Energies are from PBE.

Output
Energy of formation from the pure elements: 0.0096 eV per atom
SG: C2/m, No. 12

a b c (Å): 6.0683 10.8506 6.0542
angles (deg): 90.00 119.80 90.00
Element x y z (fractional)
Hf 0.2467 0.0000 0.2521
Hf 0.2473 0.2090 0.7476
Hf 0.2473 0.7910 0.7476
Hf 0.2527 0.2910 0.2524
Hf 0.2533 0.5000 0.7479
Hf 0.2527 0.7090 0.2524
Hf 0.7473 0.2910 0.7476
Hf 0.7467 0.5000 0.2521
Hf 0.7473 0.7090 0.7476
Hf 0.7533 0.0000 0.7479
Hf 0.7527 0.2090 0.2524
Hf 0.7527 0.7910 0.2524
Ir 0.0000 0.0000 0.5000
Ir 0.5000 0.5000 0.5000
Pd 0.0000 0.5000 0.0000
Pd 0.5000 0.0000 0.0000

=====

No. 4
Here is HfIrPd after structural relaxation from Alexandria via LeMat-Bulk. Energies are from PBE.

Output
Relative energy among the computed polymorphs: 0.000 eV/atom
Energy of formation from the pure elements: -0.6483 eV per atom
SG: P4/nmm, No. 129

a b c (Å): 3.3091 3.3091 9.3382
angles (deg): 90.00 90.00 90.00
Element x y z (fractional)
Hf 0.2500 0.2500 0.2489
Hf 0.7500 0.7500 0.7511
Ir 0.2500 0.2500 0.9006
Ir 0.7500 0.7500 0.0994
Pd 0.2500 0.2500 0.5854
Pd 0.7500 0.7500 0.4146

=====

No. 5
Here is HfIrPd2 after structural relaxation from Alexandria via LeMat-Bulk. Energies are from PBE.

Output
Energy of formation from the pure elements: -0.7759 eV per atom
SG: P4/mmm, No. 123

a b c (Å): 3.9528 3.9528 4.0803
angles (deg): 90.00 90.00 90.00
Element x y z (fractional)
Hf 0.0000 0.0000 0.0000
Ir 0.5000 0.5000 0.0000
Pd 0.0000 0.5000 0.5000
Pd 0.5000 0.0000 0.5000

=====

No. 6
Here is Hf6Ir5Pd after structural relaxation from Alexandria via LeMat-Bulk. Energies are from PBE.

Output
Energy of formation from the pure elements: -0.8805 eV per atom
SG: P2/m, No. 10

a b c (Å): 4.6100 6.6874 7.0817
angles (deg): 90.00 103.43 90.00
Element x y z (fractional)
Hf 0.0000 0.2473 0.0000
Hf 0.0000 0.7527 0.0000
Hf 0.3283 0.2495 0.6654
Hf 0.3283 0.7505 0.6654
Hf 0.6717 0.2495 0.3346
Hf 0.6717 0.7505 0.3346
Ir 0.1701 0.5000 0.3292
Ir 0.1750 0.0000 0.3386
Ir 0.5000 0.0000 0.0000
Ir 0.8250 0.0000 0.6614
Ir 0.8299 0.5000 0.6708
Pd 0.5000 0.5000 0.0000

=====

No. 7
Here is HfIrPd3 after structural relaxation from Alexandria via LeMat-Bulk. Energies are from PBE.

Output
Relative energy among the computed polymorphs: 0.000 eV/atom
Energy of formation from the pure elements: 1.0162 eV per atom
SG: Pm-3m, No. 221

a b c (Å): 4.7753 4.7753 4.7753
angles (deg): 90.00 90.00 90.00
Element x y z (fractional)
Hf 0.0000 0.0000 0.0000
Ir 0.5000 0.5000 0.5000
Pd 0.0000 0.5000 0.5000
Pd 0.5000 0.0000 0.5000
Pd 0.5000 0.5000 0.0000

=====

No. 8
Here is HfIrPd3 after structural relaxation from Alexandria via LeMat-Bulk. Energies are from PBE.

Output
Relative energy among the computed polymorphs: 0.117 eV/atom
Energy of formation from the pure elements: 1.1337 eV per atom
SG: Pm-3m, No. 221

a b c (Å): 4.7369 4.7369 4.7369
angles (deg): 90.00 90.00 90.00
Element x y z (fractional)
Hf 0.0000 0.0000 0.0000
Ir 0.5000 0.5000 0.5000
Pd 0.0000 0.0000 0.5000
Pd 0.0000 0.5000 0.0000
Pd 0.5000 0.0000 0.0000

=====

No. 9
Here is HfIr2Pd after structural relaxation from Alexandria via LeMat-Bulk. Energies are from PBE.

Output
Energy of formation from the pure elements: -0.1273 eV per atom
SG: I-42d, No. 122

a b c (Å): 3.8891 3.8891 18.4988
angles (deg): 90.00 90.00 90.00
Element x y z (fractional)
Hf 0.0000 0.0000 0.0000
Hf 0.0000 0.5000 0.2500
Hf 0.5000 0.0000 0.7500
Hf 0.5000 0.5000 0.5000
Ir 0.2257 0.2500 0.6250
Ir 0.2500 0.7257 0.8750
Ir 0.2500 0.7743 0.3750
Ir 0.2743 0.2500 0.1250
Ir 0.7257 0.7500 0.1250
Ir 0.7500 0.2257 0.3750
Ir 0.7500 0.2743 0.8750
Ir 0.7743 0.7500 0.6250
Pd 0.0000 0.0000 0.5000
Pd 0.0000 0.5000 0.7500
Pd 0.5000 0.0000 0.2500
Pd 0.5000 0.5000 0.0000

=====

No. 10
Here is Hf4Ir2Pd3 after structural relaxation from Alexandria via LeMat-Bulk. Energies are from PBE.

Output
Energy of formation from the pure elements: -0.7784 eV per atom
SG: C2/m, No. 12

a b c (Å): 4.7648 4.7648 8.8225
angles (deg): 96.86 96.86 53.48
Element x y z (fractional)
Hf 0.0340 0.0340 0.3350
Hf 0.3404 0.3404 0.1171
Hf 0.6596 0.6596 0.8829
Hf 0.9660 0.9660 0.6650
Ir 0.3197 0.3197 0.7967
Ir 0.6803 0.6803 0.2033
Pd 0.0000 0.0000 0.0000
Pd 0.3418 0.3418 0.4484
Pd 0.6582 0.6582 0.5516

=====

No. 11
Here is HfIr2Pd after structural relaxation from Alexandria via LeMat-Bulk. Energies are from PBE.

Output
Energy of formation from the pure elements: -0.3776 eV per atom
SG: Fm-3m, No. 225

a b c (Å): 6.3844 6.3844 6.3844
angles (deg): 90.00 90.00 90.00
Element x y z (fractional)
Hf 0.0000 0.0000 0.0000
Hf 0.0000 0.5000 0.5000
Hf 0.5000 0.0000 0.5000
Hf 0.5000 0.5000 0.0000
Ir 0.2500 0.2500 0.2500
Ir 0.2500 0.2500 0.7500
Ir 0.2500 0.7500 0.2500
Ir 0.2500 0.7500 0.7500
Ir 0.7500 0.2500 0.2500
Ir 0.7500 0.2500 0.7500
Ir 0.7500 0.7500 0.2500
Ir 0.7500 0.7500 0.7500
Pd 0.0000 0.0000 0.5000
Pd 0.0000 0.5000 0.0000
Pd 0.5000 0.0000 0.0000
Pd 0.5000 0.5000 0.5000

=====

No. 12
Here is Hf7Ir2Pd2 after structural relaxation from Alexandria via LeMat-Bulk. Energies are from PBE.

Output
Relative energy among the computed polymorphs: 0.000 eV/atom
Energy of formation from the pure elements: -0.5499 eV per atom
SG: Imm2, No. 44

a b c (Å): 8.6693 8.6693 8.6693
angles (deg): 157.43 68.86 115.92
Element x y z (fractional)
Hf 0.0000 0.0000 0.0000
Hf 0.2894 0.4099 0.8794
Hf 0.3140 0.6307 0.6833
Hf 0.5305 0.4099 0.1206
Hf 0.6360 0.2631 0.3729
Hf 0.8902 0.2631 0.6271
Hf 0.9474 0.6307 0.3167
Ir 0.1605 0.9275 0.2330
Ir 0.6945 0.9275 0.7670
Pd 0.2541 0.7541 0.5000
Pd 0.6394 0.6394 0.0000

=====

No. 13
Here is PrHfIrPd after structural relaxation from Alexandria via LeMat-Bulk. Energies are from PBE.

Output
Energy of formation from the pure elements: -0.5593 eV per atom
SG: F-43m, No. 216

a b c (Å): 6.8986 6.8986 6.8986
angles (deg): 90.00 90.00 90.00
Element x y z (fractional)
Pr 0.0000 0.0000 0.0000
Pr 0.0000 0.5000 0.5000
Pr 0.5000 0.0000 0.5000
Pr 0.5000 0.5000 0.0000
Hf 0.0000 0.0000 0.5000
Hf 0.0000 0.5000 0.0000
Hf 0.5000 0.0000 0.0000
Hf 0.5000 0.5000 0.5000
Ir 0.2500 0.2500 0.2500
Ir 0.2500 0.7500 0.7500
Ir 0.7500 0.2500 0.7500
Ir 0.7500 0.7500 0.2500
Pd 0.2500 0.2500 0.7500
Pd 0.2500 0.7500 0.2500
Pd 0.7500 0.2500 0.2500
Pd 0.7500 0.7500 0.7500

=====

No. 14
Here is HfSc2IrPd after structural relaxation from Alexandria via LeMat-Bulk. Energies are from PBE.

Output
Energy of formation from the pure elements: 0.3766 eV per atom
SG: P4/mmm, No. 123

a b c (Å): 4.6838 4.6838 5.1141
angles (deg): 90.00 90.00 90.00
Element x y z (fractional)
Hf 0.0000 0.0000 0.0000
Sc 0.0000 0.5000 0.5000
Sc 0.5000 0.0000 0.5000
Ir 0.5000 0.5000 0.0000
Pd 0.5000 0.5000 0.5000

=====

No. 15
Here is TbHfIrPd after structural relaxation from Alexandria via LeMat-Bulk. Energies are from PBE.

Output
Energy of formation from the pure elements: -0.7679 eV per atom
SG: F-43m, No. 216

a b c (Å): 6.7740 6.7740 6.7740
angles (deg): 90.00 90.00 90.00
Element x y z (fractional)
Tb 0.0000 0.0000 0.0000
Tb 0.0000 0.5000 0.5000
Tb 0.5000 0.0000 0.5000
Tb 0.5000 0.5000 0.0000
Hf 0.0000 0.0000 0.5000
Hf 0.0000 0.5000 0.0000
Hf 0.5000 0.0000 0.0000
Hf 0.5000 0.5000 0.5000
Ir 0.2500 0.2500 0.2500
Ir 0.2500 0.7500 0.7500
Ir 0.7500 0.2500 0.7500
Ir 0.7500 0.7500 0.2500
Pd 0.2500 0.2500 0.7500
Pd 0.2500 0.7500 0.2500
Pd 0.7500 0.2500 0.2500
Pd 0.7500 0.7500 0.7500

=====

No. 16
Here is TmHfIrPd after structural relaxation from Alexandria via LeMat-Bulk. Energies are from PBE.

Output
Energy of formation from the pure elements: -0.8566 eV per atom
SG: F-43m, No. 216

a b c (Å): 6.7158 6.7158 6.7158
angles (deg): 90.00 90.00 90.00
Element x y z (fractional)
Tm 0.0000 0.0000 0.0000
Tm 0.0000 0.5000 0.5000
Tm 0.5000 0.0000 0.5000
Tm 0.5000 0.5000 0.0000
Hf 0.0000 0.0000 0.5000
Hf 0.0000 0.5000 0.0000
Hf 0.5000 0.0000 0.0000
Hf 0.5000 0.5000 0.5000
Ir 0.2500 0.2500 0.2500
Ir 0.2500 0.7500 0.7500
Ir 0.7500 0.2500 0.7500
Ir 0.7500 0.7500 0.2500
Pd 0.2500 0.2500 0.7500
Pd 0.2500 0.7500 0.2500
Pd 0.7500 0.2500 0.2500
Pd 0.7500 0.7500 0.7500

=====

No. 17
Here is HfVIrPd after structural relaxation from Alexandria via LeMat-Bulk. Energies are from PBE.

Output
Energy of formation from the pure elements: -0.4533 eV per atom
SG: F-43m, No. 216

a b c (Å): 6.4098 6.4098 6.4098
angles (deg): 90.00 90.00 90.00
Element x y z (fractional)
Hf 0.0000 0.0000 0.0000
Hf 0.0000 0.5000 0.5000
Hf 0.5000 0.0000 0.5000
Hf 0.5000 0.5000 0.0000
V 0.0000 0.0000 0.5000
V 0.0000 0.5000 0.0000
V 0.5000 0.0000 0.0000
V 0.5000 0.5000 0.5000
Ir 0.2500 0.2500 0.2500
Ir 0.2500 0.7500 0.7500
Ir 0.7500 0.2500 0.7500
Ir 0.7500 0.7500 0.2500
Pd 0.2500 0.2500 0.7500
Pd 0.2500 0.7500 0.2500
Pd 0.7500 0.2500 0.2500
Pd 0.7500 0.7500 0.7500

=====

No. 18
Here is YHfIrPd after structural relaxation from Alexandria via LeMat-Bulk. Energies are from PBE.

Output
Energy of formation from the pure elements: -0.7772 eV per atom
SG: F-43m, No. 216

a b c (Å): 6.7685 6.7685 6.7685
angles (deg): 90.00 90.00 90.00
Element x y z (fractional)
Y 0.0000 0.0000 0.0000
Y 0.0000 0.5000 0.5000
Y 0.5000 0.0000 0.5000
Y 0.5000 0.5000 0.0000
Hf 0.0000 0.0000 0.5000
Hf 0.0000 0.5000 0.0000
Hf 0.5000 0.0000 0.0000
Hf 0.5000 0.5000 0.5000
Ir 0.2500 0.2500 0.2500
Ir 0.2500 0.7500 0.7500
Ir 0.7500 0.2500 0.7500
Ir 0.7500 0.7500 0.2500
Pd 0.2500 0.2500 0.7500
Pd 0.2500 0.7500 0.2500
Pd 0.7500 0.2500 0.2500
Pd 0.7500 0.7500 0.7500

=====

No. 19
Here is Hf5Zr2Ir2Pd after structural relaxation from Alexandria via LeMat-Bulk. Energies are from PBE.

Output
Energy of formation from the pure elements: -0.5385 eV per atom
SG: P4/mbm, No. 127

a b c (Å): 11.1323 11.1323 3.3574
angles (deg): 90.00 90.00 90.00
Element x y z (fractional)
Hf 0.0000 0.5000 0.0000
Hf 0.0519 0.2001 0.0000
Hf 0.2001 0.9481 0.0000
Hf 0.2999 0.4481 0.0000
Hf 0.4481 0.7001 0.0000
Hf 0.5000 0.0000 0.0000
Hf 0.5519 0.2999 0.0000
Hf 0.7001 0.5519 0.0000
Hf 0.7999 0.0519 0.0000
Hf 0.9481 0.7999 0.0000
Zr 0.1789 0.6789 0.5000
Zr 0.3211 0.1789 0.5000
Zr 0.6789 0.8211 0.5000
Zr 0.8211 0.3211 0.5000
Ir 0.1343 0.3657 0.5000
Ir 0.3657 0.8657 0.5000
Ir 0.6343 0.1343 0.5000
Ir 0.8657 0.6343 0.5000
Pd 0.0000 0.0000 0.5000
Pd 0.5000 0.5000 0.5000

=====

No. 20
Here is PmHf2Ir3 after structural relaxation from Alexandria via LeMat-Bulk. Energies are from PBE.

Output
Energy of formation from the pure elements: -0.8532 eV per atom
SG: P4/mmm, No. 123

a b c (Å): 3.2699 3.2699 10.6948
angles (deg): 90.00 90.00 90.00
Element x y z (fractional)
Pm 0.0000 0.0000 0.0000
Hf 0.0000 0.0000 0.3427
Hf 0.0000 0.0000 0.6573
Ir 0.5000 0.5000 0.2044
Ir 0.5000 0.5000 0.5000
Ir 0.5000 0.5000 0.7956

=====

Q: Which Fermi-level density of states values were calculated for the entries above? A: 11.40 3.40 10.31 1.92 3.35 6.92 8.81 4.02 3.26 5.29 5.66 10.54 4.52 6.44 4.54 4.45 5.79 4.44 10.37 6.28, in states/eV/f.u..
Q: Which energy values were calculated for the entries above? A: -33.69 -46.68 -73.70 -25.95 -32.30 -119.78 -29.31 -28.72 -33.38 -80.12 -34.38 -103.83 -31.02 -34.79 -31.71 -31.91 -34.94 -33.58 -95.16 -56.36, in eV/f.u..
Q: Which mass density values were calculated for the entries above? A: 13.04 15.69 13.15 15.50 15.20 16.72 10.52 10.78 15.89 14.76 17.08 13.74 12.50 8.39 13.59 14.17 13.32 12.12 12.50 15.66, in Mg/m³.